# PBE with a Hubbard U KVBO4, relaxed
data_KVBO4
_chemical_formula_sum 'K2 V2 B2 O8'
_cell_length_a 4.780
_cell_length_b 5.313
_cell_length_c 7.039
_cell_angle_alpha 90.00
_cell_angle_beta 109.62
_cell_angle_gamma 90.00
_space_group_name_H-M_alt 'P 1 21/m 1'
_space_group_IT_number 11
_space_group_name_Hall '-P 2yb'
loop_
_atom_site_label
_atom_site_type_symbol
_atom_site_fract_x
_atom_site_fract_y
_atom_site_fract_z
_atom_site_occupancy
K1 K 0.209 0.250 0.442 1
V1 V 0.294 0.250 0.968 1
B1 B 0.248 0.750 0.141 1
O1 O 0.033 0.750 0.938 1
O2 O 0.065 0.750 0.271 1
O3 O 0.462 0.531 0.165 1
# final energy = -7.079 eV/atom